Computed, not measured: crystalline CdHg2TeO6 at its relaxed geometry at the GGA-PBE level of DFT.

```
CdHg2TeO6
1.0
7.131 0.000 0.000
3.277 6.565 0.000
2.952 0.806 6.832
Cd Hg Te O
2 4 2 12
direct
0.171 0.353 0.304
0.829 0.647 0.696
0.164 0.858 0.287
0.338 0.148 0.716
0.662 0.852 0.284
0.836 0.142 0.713
0.298 0.636 0.808
0.702 0.364 0.192
0.042 0.305 0.653
0.111 0.735 0.660
0.232 0.847 0.936
0.278 0.399 0.966
0.352 0.017 0.264
0.417 0.431 0.363
0.583 0.569 0.637
0.648 0.983 0.736
0.722 0.601 0.034
0.768 0.153 0.064
0.889 0.265 0.340
0.958 0.695 0.347
```

Output
* volume: 15.99 Å³ per atom
* energy: -4.0877 eV per atom
* SG: P-1 (2)